Density functional theory data (GGA-PBE) for crystalline Pm3DyHo6Th2 at its relaxed geometry.

Summary:
Volume   384 Å³/cell
Energy   -5.0779 eV/atom
SG   C2/m (12)
Fermi-level density of states   15.56 states/eV per cell

Unit cell a=6.1867 b=6.1867 c=11.7555 alpha=95.04 beta=95.04 gamma=119.97
Fractional positions:
Pm 0.0000 0.0000 0.0000
Pm 0.3337 0.6663 0.0000
Pm 0.6663 0.3337 0.0000
Dy 0.5000 0.5000 0.5000
Ho 0.0807 0.4180 0.2544
Ho 0.2446 0.2446 0.7459
Ho 0.4180 0.0807 0.2544
Ho 0.5820 0.9193 0.7456
Ho 0.7554 0.7554 0.2541
Ho 0.9193 0.5820 0.7456
Th 0.1666 0.8334 0.5000
Th 0.8334 0.1666 0.5000